Entry 1:
This record from the Alexandria database describes PaCdSnBi after structural relaxation. The functional is GGA-PBE.

total magnetization: 0.000 μB per atom
mass density: 10.74 Mg/m³
offset from the most stable computed form: 0.0000 eV per atom
DFT total energy: -4.76 eV/atom
formation energy from the elements: -0.1862 eV per atom

a b c (Å): 4.282 4.919 4.927
angles (deg): 90.00 90.00 90.00
Space group Pmmm (No. 47)
Unique sites:
Pa 0.000 0.000 0.000 (multiplicity 1)
Cd 0.000 0.500 0.500 (multiplicity 1)
Sn 0.500 0.500 0.000 (multiplicity 1)
Bi 0.500 0.000 0.500 (multiplicity 1)

Entry 2:
This record from the Alexandria database describes Cd4BiPb10 after structural relaxation. The functional is GGA-PBE.

total magnetization: 0.000 μB per atom
mass density: 9.14 Mg/m³
DFT total energy: -2.90 eV/atom
formation energy from the elements: 0.0798 eV per atom

a b c (Å): 11.611 11.611 7.362
angles (deg): 90.00 90.00 90.00
Space group I4/m (No. 87)
Unique sites:
Cd 0.097 0.302 0.000 (multiplicity 8)
Bi 0.000 0.000 0.500 (multiplicity 2)
Pb 0.000 0.500 0.250 (multiplicity 4)
Pb 0.103 0.793 0.243 (multiplicity 16)